[1]
# Te3WBr GGA-PBE optimized geometry
data_Te3WBr
_chemical_formula_sum 'Te6 W2 Br2'
_cell_length_a 5.1838
_cell_length_b 7.5785
_cell_length_c 9.8199
_cell_angle_alpha 101.58
_cell_angle_beta 97.07
_cell_angle_gamma 108.29
_symmetry_space_group_name_H-M 'P -1'
_symmetry_Int_Tables_number 2
loop_
_symmetry_equiv_pos_as_xyz
'x,y,z'
'-x,-y,-z'
loop_
_atom_site_label
_atom_site_type_symbol
_atom_site_fract_x
_atom_site_fract_y
_atom_site_fract_z
Te1 Te 0.0742 0.2476 0.1300
Te2 Te 0.1108 0.1130 0.6549
Te3 Te 0.3205 0.6505 0.5201
W1 W 0.1143 0.2576 0.3838
Br1 Br 0.4293 0.7408 0.1136
# - density of states at the Fermi level (states/eV per cell) = 1.27
# - formation energy without anion corrections (eV/atom) = 0.1535
# - volume (Å³/atom) = 35.16
# - uncorrected energy (eV for the cell shown) = -46.57
# - theoretical density (g/cm3) = 6.11

---

[2]
# Al3As5Au12 GGA-PBE optimized geometry
data_Al3As5Au12
_chemical_formula_sum 'Al24 As40 Au96'
_cell_length_a 15.1582
_cell_length_b 15.1582
_cell_length_c 15.1582
_cell_angle_alpha 90.00
_cell_angle_beta 90.00
_cell_angle_gamma 90.00
_symmetry_space_group_name_H-M 'I a -3 d'
_symmetry_Int_Tables_number 230
_symmetry_space_group_name_Hall '-I 4bd 2c 3'
loop_
_atom_site_label
_atom_site_type_symbol
_atom_site_fract_x
_atom_site_fract_y
_atom_site_fract_z
Al1 Al 0.0000 0.2500 0.1250
As1 As 0.0000 0.0000 0.0000
As2 As 0.0000 0.2500 0.3750
Au1 Au 0.0148 0.0777 0.6525
# - density of states at the Fermi level (states/eV per cell) = 104.98
# - volume (Å³/atom) = 21.77
# - uncorrected energy (eV for the cell shown) = -584.77
# - formation enthalpy at 0 K (meV/atom) = 35
# - theoretical density (g/cm3) = 10.75

---

[3]
# CaSm2TmS4 GGA-PBE optimized geometry
data_CaSm2TmS4
_chemical_formula_sum 'Ca1 Sm2 Tm1 S4'
_cell_length_a 6.8451
_cell_length_b 3.9403
_cell_length_c 6.9163
_cell_angle_alpha 90.00
_cell_angle_beta 109.04
_cell_angle_gamma 90.00
_symmetry_space_group_name_H-M 'P 1 2/m 1'
_symmetry_Int_Tables_number 10
loop_
_symmetry_equiv_pos_as_xyz
'x,y,z'
'-x,-y,-z'
'-x,y,-z'
'x,-y,z'
loop_
_atom_site_label
_atom_site_type_symbol
_atom_site_fract_x
_atom_site_fract_y
_atom_site_fract_z
Ca1 Ca 0.0000 0.0000 0.0000
Sm1 Sm 0.0000 0.5000 0.5000
Sm2 Sm 0.5000 0.0000 0.5000
Tm1 Tm 0.5000 0.5000 0.0000
S1 S 0.2520 0.5000 0.2409
S2 S 0.2581 0.0000 0.7631
# - density of states at the Fermi level (states/eV per cell) = 2.77
# - formation energy without anion corrections (eV/atom) = -2.0180
# - volume (Å³/atom) = 22.04
# - uncorrected energy (eV for the cell shown) = -48.57
# - theoretical density (g/cm3) = 6.01

---

[4]
# FeCo5 GGA-PBE optimized geometry
data_FeCo5
_chemical_formula_sum 'Fe4 Co20'
_cell_length_a 6.5210
_cell_length_b 6.5210
_cell_length_c 6.5210
_cell_angle_alpha 90.00
_cell_angle_beta 90.00
_cell_angle_gamma 90.00
_symmetry_space_group_name_H-M 'F -4 3 m'
_symmetry_Int_Tables_number 216
_symmetry_space_group_name_Hall 'F -4 2 3'
loop_
_atom_site_label
_atom_site_type_symbol
_atom_site_fract_x
_atom_site_fract_y
_atom_site_fract_z
Fe1 Fe 0.0000 0.0000 0.0000
Co1 Co 0.1249 0.1249 0.6249
Co2 Co 0.2500 0.2500 0.2500
# - density of states at the Fermi level (states/eV per cell) = 21.39
# - volume (Å³/atom) = 11.55
# - uncorrected energy (eV for the cell shown) = -172.37
# - formation enthalpy at 0 K (meV/atom) = 150
# - theoretical density (g/cm3) = 8.40

---

Look up the theoretical density of the third one.
6.01 g/cm3

---

What is the density of states at the Fermi level in the third record?
2.77 states/eV per cell